Crystalline LiTbMgAl at its relaxed geometry. Source: the Alexandria database, functional PBE-GGA.

Crystal system = cubic
ρ = 4.2 g cm⁻³

Cell: 6.9803 6.9803 6.9803 Å, 90.00 90.00 90.00°
Atoms (fractional coordinates):
Li1 0.0000 0.0000 0.0000
Li2 0.0000 0.5000 0.5000
Li3 0.5000 0.0000 0.5000
Li4 0.5000 0.5000 0.0000
Tb1 0.2500 0.2500 0.2500
Tb2 0.2500 0.7500 0.7500
Tb3 0.7500 0.2500 0.7500
Tb4 0.7500 0.7500 0.2500
Mg1 0.2500 0.2500 0.7500
Mg2 0.2500 0.7500 0.2500
Mg3 0.7500 0.2500 0.2500
Mg4 0.7500 0.7500 0.7500
Al1 0.0000 0.0000 0.5000
Al2 0.0000 0.5000 0.0000
Al3 0.5000 0.0000 0.0000
Al4 0.5000 0.5000 0.5000

---

Crystalline BaSrInSn at its relaxed geometry. Source: the Alexandria database, functional PBE-GGA.

Crystal system = cubic
E above lowest polymorph = 80 meV/atom
ρ = 5.3 g cm⁻³

Cell: 8.3362 8.3362 8.3362 Å, 90.00 90.00 90.00°
Atoms (fractional coordinates):
Ba1 0.0000 0.0000 0.0000
Ba2 0.0000 0.5000 0.5000
Ba3 0.5000 0.0000 0.5000
Ba4 0.5000 0.5000 0.0000
Sr1 0.0000 0.0000 0.5000
Sr2 0.0000 0.5000 0.0000
Sr3 0.5000 0.0000 0.0000
Sr4 0.5000 0.5000 0.5000
In1 0.2500 0.2500 0.7500
In2 0.2500 0.7500 0.2500
In3 0.7500 0.2500 0.2500
In4 0.7500 0.7500 0.7500
Sn1 0.2500 0.2500 0.2500
Sn2 0.2500 0.7500 0.7500
Sn3 0.7500 0.2500 0.7500
Sn4 0.7500 0.7500 0.2500

---

Crystalline Ca2MgPd2 at its relaxed geometry. Source: the Alexandria database, functional PBE-GGA.

Crystal system = tetragonal
ρ = 4.1 g cm⁻³

Cell: 5.6409 5.6409 8.0151 Å, 90.00 90.00 90.00°
Atoms (fractional coordinates):
Ca1 0.0000 0.5000 0.2500
Ca2 0.0000 0.5000 0.7500
Ca3 0.5000 0.0000 0.2500
Ca4 0.5000 0.0000 0.7500
Mg1 0.0000 0.0000 0.0000
Mg2 0.5000 0.5000 0.5000
Pd1 0.0000 0.0000 0.3335
Pd2 0.0000 0.0000 0.6665
Pd3 0.5000 0.5000 0.1665
Pd4 0.5000 0.5000 0.8335

---

| no. | total energy (eV per atom) | spin magnetization (μB per atom) | energy of formation (eV/atom) |
| --- | --- | --- | --- |
| 1 | -3.183 | 0.000 | -0.21 |
| 2 | -3.072 | 0.000 | -0.49 |
| 3 | -3.612 | 0.000 | -0.42 |